Entry 1:
BaCoPd2: relaxed, PBE-GGA.

The value obtained for the electronic total energy is -4.52 eV per atom. For the formation energy, the calculation gives 0.336 eV per atom.

a = 6.9598 Å, b = 6.9598 Å, c = 6.9598 Å
α = 90.00°, β = 90.00°, γ = 90.00°
Space group Fm-3m (No. 225)
Inequivalent atoms, fractional coordinates:
Ba 0.0000 0.0000 0.0000 [4 per cell]
Co 0.0000 0.0000 0.5000 [4 per cell]
Pd 0.2500 0.2500 0.2500 [8 per cell]

***

Entry 2:
P3C: relaxed, PBE-GGA.

Its excess energy over the best structure of this formula in the dataset is 0.40 eV per formula unit. The value obtained for the electronic total energy is -5.86 eV per atom. For the formation energy, the calculation gives 0.507 eV per atom.

a = 3.0687 Å, b = 3.0707 Å, c = 8.1946 Å
α = 83.32°, β = 81.56°, γ = 60.13°
Space group P1 (No. 1)
Inequivalent atoms, fractional coordinates:
P 0.0000 0.0000 0.0000 [1 per cell]
P 0.2011 0.2388 0.3276 [1 per cell]
P 0.4856 0.5493 0.4858 [1 per cell]
C 0.6861 0.6766 0.9397 [1 per cell]

***

Entry 3:
NaPrRh: relaxed, PBE-GGA.

The value obtained for the electronic total energy is -4.73 eV per atom. For the formation energy, the calculation gives -0.249 eV per atom.

a = 5.9152 Å, b = 5.7777 Å, c = 9.3061 Å
α = 90.00°, β = 108.48°, γ = 90.00°
Space group C2/m (No. 12)
Inequivalent atoms, fractional coordinates:
Na 0.2391 0.0000 0.9995 [4 per cell]
Pr 0.1822 0.5000 0.3636 [4 per cell]
Rh 0.1530 0.0000 0.3048 [4 per cell]

***

Entry 4:
NdNp2S6: relaxed, PBE-GGA.

The value obtained for the energy relative to the elements, uncorrected is -1322 meV/atom. The value obtained for the electronic total energy is -7.48 eV per atom.

a = 13.4165 Å, b = 5.1228 Å, c = 8.9516 Å
α = 90.00°, β = 126.85°, γ = 90.00°
Space group C2/m (No. 12)
Inequivalent atoms, fractional coordinates:
Nd 0.0000 0.0000 0.0000 [2 per cell]
Np 0.1810 0.0000 0.6029 [4 per cell]
S 0.0387 0.0000 0.7164 [4 per cell]
S 0.1351 0.5000 0.0610 [4 per cell]
S 0.2383 0.5000 0.6149 [4 per cell]

***

Entry 5:
CaZrCu: relaxed, PBE-GGA.

Its excess energy over the best structure of this formula in the dataset is 0.14 eV per formula unit. The value obtained for the electronic total energy is -4.80 eV per atom. For the formation energy, the calculation gives 0.085 eV per atom.

a = 3.3544 Å, b = 3.3544 Å, c = 12.4740 Å
α = 90.00°, β = 90.00°, γ = 90.00°
Space group I4mm (No. 107)
Inequivalent atoms, fractional coordinates:
Ca 0.0000 0.0000 0.0000 [2 per cell]
Zr 0.0000 0.0000 0.2791 [2 per cell]
Cu 0.0000 0.0000 0.6701 [2 per cell]

***

Entry 6:
Mn2Nb4Re: relaxed, PBE-GGA.

The value obtained for the electronic total energy is -8.96 eV per atom. For the formation energy, the calculation gives 1.191 eV per atom.

a = 4.8259 Å, b = 4.8259 Å, c = 12.5040 Å
α = 90.00°, β = 90.00°, γ = 90.00°
Space group I4/mmm (No. 139)
Inequivalent atoms, fractional coordinates:
Mn 0.0000 0.0000 0.1098 [4 per cell]
Nb 0.0000 0.0000 0.2981 [4 per cell]
Nb 0.0000 0.5000 0.0000 [4 per cell]
Re 0.0000 0.0000 0.5000 [2 per cell]